Computed, not measured: a geometry-optimized HfCr2O6 structure at the PBE with a Hubbard U level of DFT.

Summary:
M_tot ... 4.00 μB/f.u.
Electronic total energy ... -8.26 eV per atom
ρ ... 6.45 g cm⁻³
Space group ... C2/m, No. 12

Cell lengths 4.549, 4.941, 5.037 Å; angles 120.64, 89.05, 90.49 degrees
Last column: magnetic moment on the atom in μB.
Atoms (fractional coordinates):
Hf 0.000 0.000 0.000  0.04
Cr 0.500 0.659 0.329  2.22
Cr 0.500 0.341 0.671  2.22
O 0.733 0.649 0.654  -0.09
O 0.267 0.649 0.995  -0.09
O 0.272 0.000 0.661  -0.06
O 0.733 0.351 0.005  -0.09
O 0.267 0.351 0.346  -0.09
O 0.728 0.000 0.339  -0.06